# 1
Here is an optimized crystal structure of Sm5Tl2Cd from the Alexandria database. Energies are from GGA-PBE.

```
16
Lattice="2.353 -5.626 0.000 2.353 5.626 0.000 0.000 0.000 18.112" Properties=species:S:1:pos:R:3 pbc="T T T"
Sm 2.353 5.129 10.838
Sm 2.353 5.129 16.330
Sm 2.353 1.777 9.810
Sm 2.353 1.777 17.358
Sm 2.353 0.555 13.584
Sm 2.353 -0.555 4.528
Sm 2.353 -1.777 0.754
Sm 2.353 -1.777 8.302
Sm 2.353 -5.129 1.782
Sm 2.353 -5.129 7.274
Tl 2.353 2.872 2.774
Tl 2.353 2.872 6.282
Tl 2.353 -2.872 11.830
Tl 2.353 -2.872 15.338
Cd 2.353 3.784 13.584
Cd 2.353 -3.784 4.528
```

The crystal system is orthorhombic. The calculation puts the spin magnetization at 0.00 μB/f.u. Its calculated formation energy is -0.162 eV per atom.



# 2
Here is an optimized crystal structure of Sm3TlCd5 from the Alexandria database. Energies are from GGA-PBE.

```
18
Lattice="9.123 0.000 0.000 -4.561 7.901 0.000 0.000 0.000 6.471" Properties=species:S:1:pos:R:3 pbc="T T T"
Sm -1.464 2.535 1.618
Sm -3.098 5.365 4.854
Sm 2.928 0.000 1.618
Sm 1.464 2.535 4.854
Sm 6.195 0.000 4.854
Sm 3.098 5.365 1.618
Tl 0.000 0.000 0.000
Tl 0.000 0.000 3.236
Cd -1.595 2.763 4.854
Cd -2.966 5.138 1.618
Cd 0.000 5.267 0.000
Cd 0.000 5.267 3.236
Cd 3.190 0.000 4.854
Cd 1.595 2.763 1.618
Cd 5.933 0.000 1.618
Cd 2.966 5.138 4.854
Cd 4.561 2.634 0.000
Cd 4.561 2.634 3.236
```

The crystal system is hexagonal. The calculation puts the spin magnetization at 0.00 μB/f.u. Its calculated formation energy is -0.296 eV per atom.



# 3
Here is an optimized crystal structure of Sm8Tl2Cd3 from the Alexandria database. Energies are from GGA-PBE.

```
13
Lattice="9.051 -4.151 0.000 9.051 4.151 0.000 -0.406 0.000 5.217" Properties=species:S:1:pos:R:3 pbc="T T T"
Sm 0.852 0.000 1.263
Sm 6.262 2.369 1.421
Sm 5.688 0.000 4.081
Sm 11.434 2.369 3.797
Sm 6.262 -2.369 1.421
Sm 12.009 0.000 1.137
Sm 11.434 -2.369 3.797
Sm 16.845 0.000 3.954
Tl 3.982 0.000 1.310
Tl 13.715 0.000 3.907
Cd 9.051 1.428 0.000
Cd 8.848 0.000 2.609
Cd 9.051 -1.428 0.000
```

The crystal system is monoclinic. The calculation puts the spin magnetization at 0.00 μB/f.u. Its calculated formation energy is -0.137 eV per atom.



# 4
Here is an optimized crystal structure of Sm5TlCd6 from the Alexandria database. Energies are from GGA-PBE.

```
12
Lattice="8.386 -3.915 0.000 8.386 3.915 0.000 -1.606 0.000 4.986" Properties=species:S:1:pos:R:3 pbc="T T T"
Sm 0.000 0.000 0.000
Sm 1.803 0.000 3.350
Sm 5.220 0.000 1.714
Sm 9.945 0.000 3.272
Sm 13.362 0.000 1.636
Tl 8.386 0.000 0.000
Cd 4.250 1.972 4.152
Cd 7.583 2.046 2.493
Cd 10.915 1.972 0.834
Cd 4.250 -1.972 4.152
Cd 7.583 -2.046 2.493
Cd 10.915 -1.972 0.834
```

The crystal system is monoclinic. The calculation puts the spin magnetization at 0.01 μB/f.u. Its calculated formation energy is -0.275 eV per atom.



# 5
Here is an optimized crystal structure of Sm2TlCd from the Alexandria database. Energies are from GGA-PBE.

```
12
Lattice="3.792 0.000 0.000 -1.896 3.284 0.000 0.000 0.000 29.471" Properties=species:S:1:pos:R:3 pbc="T T T"
Sm 0.000 0.000 7.374
Sm 0.000 0.000 22.097
Sm 0.000 2.189 12.274
Sm 0.000 2.189 27.021
Sm 1.896 1.095 2.450
Sm 1.896 1.095 17.197
Tl 0.000 0.000 14.735
Tl 0.000 2.189 4.912
Tl 1.896 1.095 24.559
Cd 0.000 0.000 0.000
Cd 0.000 2.189 19.647
Cd 1.896 1.095 9.824
```

The crystal system is trigonal. The calculation puts the spin magnetization at 0.00 μB/f.u. Its calculated formation energy is -0.198 eV per atom.



# 6
Here is an optimized crystal structure of Sm6TlCd6 from the Alexandria database. Energies are from GGA-PBE.

```
13
Lattice="6.157 0.000 0.000 -3.078 5.332 0.000 0.000 0.000 11.273" Properties=species:S:1:pos:R:3 pbc="T T T"
Sm 0.000 0.000 1.798
Sm 0.000 0.000 9.475
Sm 0.000 3.555 0.000
Sm 0.000 3.555 5.637
Sm 3.078 1.777 0.000
Sm 3.078 1.777 5.637
Tl 0.000 0.000 5.637
Cd -1.539 2.666 2.873
Cd -1.539 2.666 8.401
Cd 3.078 0.000 2.873
Cd 3.078 0.000 8.401
Cd 1.539 2.666 2.873
Cd 1.539 2.666 8.401
```

The crystal system is hexagonal. The calculation puts the spin magnetization at 0.76 μB/f.u. Its calculated formation energy is -0.164 eV per atom.



# 7
Here is an optimized crystal structure of SmTlCd3 from the Alexandria database. Energies are from GGA-PBE.

```
10
Lattice="2.895 -9.925 0.000 2.895 9.925 0.000 0.000 0.000 5.355" Properties=species:S:1:pos:R:3 pbc="T T T"
Sm 2.895 6.988 4.016
Sm 2.895 -6.988 1.339
Tl 2.895 1.155 4.016
Tl 2.895 -1.155 1.339
Cd 0.000 0.000 0.000
Cd 0.000 0.000 2.678
Cd 1.443 4.116 4.016
Cd 1.443 -4.116 1.339
Cd 4.347 4.116 4.016
Cd 4.347 -4.116 1.339
```

The crystal system is orthorhombic. The calculation puts the spin magnetization at 0.00 μB/f.u. Its calculated formation energy is 0.088 eV per atom.



# 8
Here is an optimized crystal structure of Sm8Tl2Cd from the Alexandria database. Energies are from GGA-PBE.

```
11
Lattice="8.319 -2.740 0.000 8.319 2.740 0.000 -4.568 0.000 7.495" Properties=species:S:1:pos:R:3 pbc="T T T"
Sm 0.112 0.000 1.646
Sm -0.867 0.000 5.107
Sm 2.794 0.000 4.170
Sm 6.568 0.000 0.405
Sm 5.503 0.000 7.090
Sm 9.277 0.000 3.325
Sm 12.938 0.000 2.388
Sm 11.959 0.000 5.849
Tl 3.221 0.000 0.928
Tl 8.849 0.000 6.567
Cd 6.035 0.000 3.747
```

The crystal system is monoclinic. The calculation puts the spin magnetization at 0.00 μB/f.u. The energy above the lowest structure with this stoichiometry comes out at 0.0 kJ per mole of atoms. Its calculated formation energy is -0.180 eV per atom.



# 9
Here is an optimized crystal structure of SmTl2Cd from the Alexandria database. Energies are from GGA-PBE.

```
16
Lattice="7.558 0.000 0.000 0.000 7.558 0.000 0.000 0.000 7.558" Properties=species:S:1:pos:R:3 pbc="T T T"
Sm 0.000 0.000 0.000
Sm 0.000 3.779 3.779
Sm 3.779 0.000 3.779
Sm 3.779 3.779 0.000
Tl 1.889 1.889 1.889
Tl 1.889 1.889 5.668
Tl 1.889 5.668 1.889
Tl 1.889 5.668 5.668
Tl 5.668 1.889 1.889
Tl 5.668 1.889 5.668
Tl 5.668 5.668 1.889
Tl 5.668 5.668 5.668
Cd 0.000 0.000 3.779
Cd 0.000 3.779 0.000
Cd 3.779 0.000 0.000
Cd 3.779 3.779 3.779
```

The crystal system is cubic. The calculation puts the spin magnetization at 0.00 μB/f.u. The energy above the lowest structure with this stoichiometry comes out at 12.0 kJ per mole of atoms. Its calculated formation energy is -0.161 eV per atom.



# 10
Here is an optimized crystal structure of Sm4Tl2Cd from the Alexandria database. Energies are from GGA-PBE.

```
7
Lattice="2.688 1.552 8.625 -2.688 1.552 8.625 0.000 -3.104 8.625" Properties=species:S:1:pos:R:3 pbc="T T T"
Sm 0.000 0.000 3.073
Sm 0.000 0.000 9.600
Sm 0.000 0.000 16.274
Sm 0.000 0.000 22.802
Tl 0.000 0.000 6.398
Tl 0.000 0.000 19.476
Cd 0.000 0.000 12.937
```

The crystal system is trigonal. The calculation puts the spin magnetization at 0.00 μB/f.u. The energy above the lowest structure with this stoichiometry comes out at 0.0 kJ per mole of atoms. Its calculated formation energy is -0.231 eV per atom.



# 11
Here is an optimized crystal structure of SmTlCd2 from the Alexandria database. Energies are from GGA-PBE.

```
4
Lattice="4.580 0.000 0.000 0.000 4.580 0.000 0.000 0.000 4.918" Properties=species:S:1:pos:R:3 pbc="T T T"
Sm 0.000 0.000 0.000
Tl 2.290 2.290 0.000
Cd 0.000 2.290 2.459
Cd 2.290 0.000 2.459
```

The crystal system is tetragonal. The calculation puts the spin magnetization at 0.00 μB/f.u. The energy above the lowest structure with this stoichiometry comes out at 0.0 kJ per mole of atoms. Its calculated formation energy is -0.283 eV per atom.



# 12
Here is an optimized crystal structure of SmTl2Cd from the Alexandria database. Energies are from GGA-PBE.

```
4
Lattice="3.741 0.000 0.000 0.000 3.741 0.000 0.000 0.000 7.727" Properties=species:S:1:pos:R:3 pbc="T T T"
Sm 0.000 0.000 0.000
Tl 1.871 1.871 2.067
Tl 1.871 1.871 5.660
Cd 0.000 0.000 3.863
```

The crystal system is tetragonal. The calculation puts the spin magnetization at 0.00 μB/f.u. The energy above the lowest structure with this stoichiometry comes out at 15.1 kJ per mole of atoms. Its calculated formation energy is -0.129 eV per atom.